[1]
The following is a PBE-GGA calculation of a relaxed NaMnGe2 crystal, from Alexandria.

formation energy: -0.03 eV/atom
symmetry: No. 123
energy relative to the lowest polymorph listed for this composition: 0.000 eV per atom
raw total energy: -4.960 eV/atom

Lattice parameters (Å, degrees): 2.939 2.939 8.227 90.00 90.00 90.00
Positions (direct):
Na 0.000 0.000 0.000
Mn 0.000 0.000 0.500
Ge 0.500 0.500 0.292
Ge 0.500 0.500 0.708

***

[2]
The following is a PBE-GGA calculation of a relaxed NaMnGe2 crystal, from Alexandria.

formation energy: 0.08 eV/atom
symmetry: No. 166
energy relative to the lowest polymorph listed for this composition: 0.109 eV per atom
raw total energy: -4.852 eV/atom

Lattice parameters (Å, degrees): 8.837 8.837 8.837 19.64 19.64 19.64
Positions (direct):
Na 0.000 0.000 0.000
Mn 0.500 0.500 0.500
Ge 0.235 0.235 0.235
Ge 0.765 0.765 0.765

***

[3]
The following is a PBE-GGA calculation of a relaxed NaMnGe3 crystal, from Alexandria.

formation energy: 0.09 eV/atom
symmetry: No. 221
energy relative to the lowest polymorph listed for this composition: 0.000 eV per atom
raw total energy: -4.775 eV/atom

Lattice parameters (Å, degrees): 4.679 4.679 4.679 90.00 90.00 90.00
Positions (direct):
Na 0.000 0.000 0.000
Mn 0.500 0.500 0.500
Ge 0.000 0.500 0.500
Ge 0.500 0.000 0.500
Ge 0.500 0.500 0.000

***

[4]
The following is a PBE-GGA calculation of a relaxed Na3MnGe crystal, from Alexandria.

formation energy: 0.95 eV/atom
symmetry: No. 221
energy relative to the lowest polymorph listed for this composition: 0.267 eV per atom
raw total energy: -2.599 eV/atom

Lattice parameters (Å, degrees): 5.484 5.484 5.484 90.00 90.00 90.00
Positions (direct):
Na 0.000 0.000 0.500
Na 0.000 0.500 0.000
Na 0.500 0.000 0.000
Mn 0.000 0.000 0.000
Ge 0.500 0.500 0.500

***

[5]
The following is a PBE-GGA calculation of a relaxed NaMnGe2 crystal, from Alexandria.

formation energy: 0.27 eV/atom
symmetry: No. 122
energy relative to the lowest polymorph listed for this composition: 0.297 eV per atom
raw total energy: -4.663 eV/atom

Lattice parameters (Å, degrees): 8.824 8.824 8.824 147.32 147.32 46.89
Positions (direct):
Na 0.000 0.000 0.000
Na 0.750 0.250 0.500
Mn 0.250 0.750 0.500
Mn 0.500 0.500 0.000
Ge 0.288 0.625 0.163
Ge 0.375 0.538 0.663
Ge 0.462 0.125 0.837
Ge 0.875 0.712 0.337

***

[6]
The following is a PBE-GGA calculation of a relaxed Na3MnGe crystal, from Alexandria.

formation energy: 0.68 eV/atom
symmetry: No. 221
energy relative to the lowest polymorph listed for this composition: 0.000 eV per atom
raw total energy: -2.866 eV/atom

Lattice parameters (Å, degrees): 5.590 5.590 5.590 90.00 90.00 90.00
Positions (direct):
Na 0.000 0.000 0.500
Na 0.000 0.500 0.000
Na 0.500 0.000 0.000
Mn 0.500 0.500 0.500
Ge 0.000 0.000 0.000

***

formation energy of number 4 (Na3MnGe)?
0.95 eV/atom